1.
# PBE-GGA Ag5Sb, relaxed
# Volume ... 19.43 Å³ per atom
# Total DFT energy (no corrections) ... -3.001 eV/atom
# Uncorrected formation energy ... 36 kJ/mol of formula units
data_Ag5Sb
_chemical_formula_sum 'Ag10 Sb2'
_cell_length_a 4.9035
_cell_length_b 3.1173
_cell_length_c 15.2552
_cell_angle_alpha 90.00
_cell_angle_beta 90.00
_cell_angle_gamma 90.00
_space_group_name_H-M_alt 'A m m 2'
_space_group_IT_number 38
loop_
_space_group_symop_operation_xyz
'x,y,z'
'-x,-y,z'
'-x,y,z'
'x,-y,z'
'x,y+1/2,z+1/2'
'-x,-y+1/2,z+1/2'
'-x,y+1/2,z+1/2'
'x,-y+1/2,z+1/2'
loop_
_atom_site_label
_atom_site_type_symbol
_atom_site_fract_x
_atom_site_fract_y
_atom_site_fract_z
_atom_site_occupancy
Ag1 Ag 0.0000 0.0000 0.0000 1
Ag2 Ag 0.0000 0.0000 0.3260 1
Ag3 Ag 0.0000 0.0000 0.6611 1
Ag4 Ag 0.5000 0.0000 0.2072 1
Ag5 Ag 0.5000 0.0000 0.5501 1
Sb1 Sb 0.5000 0.0000 0.8793 1

***

2.
# PBE-GGA V2TcMoC, relaxed
# Calculated formation energy ... 2.64 eV per atom
# Volume ... 18.85 Å³ per atom
# Total DFT energy (no corrections) ... -7.088 eV/atom
data_V2TcMoC
_chemical_formula_sum 'V2 Tc1 Mo1 C1'
_cell_length_a 4.5079
_cell_length_b 4.5079
_cell_length_c 4.6369
_cell_angle_alpha 90.00
_cell_angle_beta 90.00
_cell_angle_gamma 90.00
_space_group_name_H-M_alt 'P 4/m m m'
_space_group_IT_number 123
_space_group_name_Hall '-P 4 2'
loop_
_atom_site_label
_atom_site_type_symbol
_atom_site_fract_x
_atom_site_fract_y
_atom_site_fract_z
_atom_site_occupancy
V1 V 0.0000 0.5000 0.0000 1
Tc1 Tc 0.0000 0.0000 0.5000 1
Mo1 Mo 0.0000 0.0000 0.0000 1
C1 C 0.5000 0.5000 0.5000 1

***

3.
# PBE-GGA TmHg2Cl4, relaxed
# Volume ... 41.26 Å³ per atom
# Total DFT energy (no corrections) ... -3.008 eV/atom
# Uncorrected formation energy ... -829 kJ/mol of formula units
data_TmHg2Cl4
_chemical_formula_sum 'Tm2 Hg4 Cl8'
_cell_length_a 5.1203
_cell_length_b 5.1203
_cell_length_c 22.0350
_cell_angle_alpha 90.00
_cell_angle_beta 90.00
_cell_angle_gamma 90.00
_space_group_name_H-M_alt 'I 4/m m m'
_space_group_IT_number 139
_space_group_name_Hall '-I 4 2'
loop_
_atom_site_label
_atom_site_type_symbol
_atom_site_fract_x
_atom_site_fract_y
_atom_site_fract_z
_atom_site_occupancy
Tm1 Tm 0.0000 0.0000 0.0000 1
Hg1 Hg 0.0000 0.0000 0.2420 1
Cl1 Cl 0.0000 0.0000 0.1180 1
Cl2 Cl 0.0000 0.5000 0.0000 1

***

4.
# PBE-GGA ZrPd3, relaxed
# Calculated formation energy ... -0.78 eV per atom
# Volume ... 16.41 Å³ per atom
# Total DFT energy (no corrections) ... -6.816 eV/atom
data_ZrPd3
_chemical_formula_sum 'Zr1 Pd3'
_cell_length_a 4.0342
_cell_length_b 4.0342
_cell_length_c 4.0342
_cell_angle_alpha 90.00
_cell_angle_beta 90.00
_cell_angle_gamma 90.00
_space_group_name_H-M_alt 'P m -3 m'
_space_group_IT_number 221
_space_group_name_Hall '-P 4 2 3'
loop_
_atom_site_label
_atom_site_type_symbol
_atom_site_fract_x
_atom_site_fract_y
_atom_site_fract_z
_atom_site_occupancy
Zr1 Zr 0.0000 0.0000 0.0000 1
Pd1 Pd 0.0000 0.5000 0.5000 1